[1]
The following is a GGA-PBE calculation of an optimized crystal structure of BaTaI2N, from the Alexandria database.

Summary:
The value obtained for the uncorrected formation energy is -2.45 eV/f.u. The crystal system is tetragonal. For the energy above the most stable polymorph in this dataset, the calculation gives 0.000 eV per formula unit. As for the raw total energy: -5.53 eV/atom. Its symmetry is P4/mmm.

abc: 5.9398 5.9398 4.0241
angles: 90.00 90.00 90.00
Atoms (fractional coordinates):
Ba 0.0000 0.0000 0.0000
Ta 0.5000 0.5000 0.5000
I 0.0000 0.5000 0.5000
I 0.5000 0.0000 0.5000
N 0.5000 0.5000 0.0000

***

[2]
The following is a GGA-PBE calculation of an optimized crystal structure of Dy4YTm2, from the Alexandria database.

Summary:
The crystal system is triclinic. For the energy above the most stable polymorph in this dataset, the calculation gives 0.000 eV per formula unit. As for the raw total energy: -4.83 eV/atom. The formation energy is 2.5 kJ/mol of formula units. Its symmetry is P1.

abc: 6.2513 8.3957 9.1386
angles: 84.20 89.98 68.21
Atoms (fractional coordinates):
Dy 0.0000 0.0000 0.0000
Dy 0.0437 0.5747 0.0715
Dy 0.2841 0.4322 0.4254
Dy 0.3307 0.0012 0.4986
Dy 0.4264 0.1433 0.1432
Dy 0.5704 0.8584 0.8568
Dy 0.7115 0.5745 0.5688
Dy 0.7590 0.1440 0.6404
Y 0.1872 0.2888 0.7840
Y 0.6150 0.4309 0.9296
Tm 0.1397 0.7178 0.7116
Tm 0.4745 0.7161 0.2149
Tm 0.8564 0.2874 0.2857
Tm 0.9024 0.8595 0.3560

***

So what do the calculations give for size of the total moment? Going down the list: 0.2129; 0.0000 μB per atom.